Record 1
A plane-wave DFT calculation with SCAN was carried out for TeRh7 at its PBEsol-relaxed geometry.

Cell lengths 5.4332, 5.4332, 5.4332 Å; angles 60.00, 60.00, 60.00 degrees
With the nearest neighbours (Å) after each atom.
Sites, in units of the cell vectors:
Rh 0.5000 0.5000 0.5000  12 Rh 2.72
Rh 0.0000 0.5000 0.0000  10 Rh 2.72, 2 Te 2.72
Rh 0.5000 0.5000 0.0000  2 Te 2.72, 10 Rh 2.72
Rh 0.0000 0.5000 0.5000  10 Rh 2.72, 2 Te 2.72
Rh 0.5000 0.0000 0.0000  10 Rh 2.72, 2 Te 2.72
Rh 0.0000 0.0000 0.5000  10 Rh 2.72, 2 Te 2.72
Rh 0.5000 0.0000 0.5000  10 Rh 2.72, 2 Te 2.72
Te 0.0000 0.0000 0.0000  12 Rh 2.72

Calculated values
For the formation energy without anion corrections, the calculation gives -0.05 eV/atom.



Record 2
A plane-wave DFT calculation with SCAN was carried out for Te16Rh9 at its PBEsol-relaxed geometry.

Cell lengths 7.8606, 8.6658, 8.6400 Å; angles 103.89, 90.00, 90.00 degrees
With the nearest neighbours (Å) after each atom.
Sites, in units of the cell vectors:
Rh 0.5000 0.2548 0.2453  6 Te 2.62-2.69
Rh 0.7425 0.5000 0.0000  6 Te 2.63-2.65
Rh 0.0000 0.7358 0.7361  6 Te 2.63-2.69, 1 Rh 2.82
Rh 0.0000 0.2642 0.2639  6 Te 2.63-2.69, 1 Rh 2.82
Rh 0.5000 0.7452 0.7547  6 Te 2.62-2.69
Rh 0.7575 0.0000 0.5000  6 Te 2.60-2.68
Rh 0.0000 0.0000 0.0000  6 Te 2.68-2.69, 2 Rh 2.82
Rh 0.2425 0.0000 0.5000  6 Te 2.60-2.68
Rh 0.2575 0.5000 0.0000  6 Te 2.63-2.65
Te 0.2522 0.0480 0.2143  4 Rh 2.60-2.69
Te 0.7478 0.9520 0.7857  4 Rh 2.60-2.69
Te 0.0000 0.7009 0.0376  4 Rh 2.64-2.69
Te 0.2547 0.4668 0.2971  3 Rh 2.63-2.65
Te 0.5000 0.7152 0.0488  3 Rh 2.62-2.63
Te 0.7478 0.0480 0.2143  4 Rh 2.60-2.69
Te 0.0000 0.2991 0.9624  4 Rh 2.64-2.69
Te 0.2547 0.5332 0.7029  3 Rh 2.63-2.65
Te 0.5000 0.7922 0.4585  3 Rh 2.68-2.69
Te 0.7453 0.4668 0.2971  3 Rh 2.63-2.65
Te 0.0000 0.7860 0.4465  3 Rh 2.62-2.64
Te 0.5000 0.2848 0.9512  3 Rh 2.62-2.63
Te 0.2522 0.9520 0.7857  4 Rh 2.60-2.69
Te 0.5000 0.2078 0.5415  3 Rh 2.68-2.69
Te 0.7453 0.5332 0.7029  3 Rh 2.63-2.65
Te 0.0000 0.2140 0.5535  3 Rh 2.62-2.64

Calculated values
For the formation energy without anion corrections, the calculation gives -0.50 eV/atom.



Record 3
A plane-wave DFT calculation with SCAN was carried out for TeRh at its PBEsol-relaxed geometry.

Cell lengths 3.2008, 3.8057, 3.8057 Å; angles 120.00, 90.00, 90.00 degrees
With the nearest neighbours (Å) after each atom.
Sites, in units of the cell vectors:
Te 0.5000 0.3333 0.6667  6 Rh 2.72
Rh 0.0000 0.0000 0.0000  6 Te 2.72

Calculated values
For the formation energy without anion corrections, the calculation gives -0.09 eV/atom.



Record 4
A plane-wave DFT calculation with SCAN was carried out for TlTe2Rh at its PBEsol-relaxed geometry.

Cell lengths 3.5093, 3.1623, 9.4716 Å; angles 99.61, 100.68, 90.00 degrees
With the nearest neighbours (Å) after each atom.
Sites, in units of the cell vectors:
Tl 0.4443 0.4443 0.8885  4 Tl 3.16-3.51, 4 Te 3.54
Te 0.2692 0.7692 0.5384  4 Rh 2.69
Te 0.0876 0.0876 0.1753  2 Rh 2.69
Rh 0.6989 0.1989 0.3978  6 Te 2.69

Calculated values
For the formation energy without anion corrections, the calculation gives -0.17 eV/atom.



Record 5
A plane-wave DFT calculation with SCAN was carried out for Tl2TeRh at its PBEsol-relaxed geometry.

Cell lengths 3.4091, 3.4091, 9.4774 Å; angles 79.64, 79.64, 60.00 degrees
With the nearest neighbours (Å) after each atom.
Sites, in units of the cell vectors:
Te 0.0000 0.0000 0.0000  6 Tl 3.37, 6 Te 3.41
Tl 0.2351 0.2351 0.2948  3 Rh 2.74
Tl 0.7649 0.7649 0.7052  3 Rh 2.74
Rh 0.5000 0.5000 0.5000  6 Tl 2.74

Calculated values
The relative energy among the computed polymorphs comes out at 0.344 eV per atom. For the formation energy without anion corrections, the calculation gives 0.23 eV/atom.



Record 6
A plane-wave DFT calculation with SCAN was carried out for TlTeRh3 at its PBEsol-relaxed geometry.

Cell lengths 4.8734, 4.8734, 4.8734 Å; angles 90.00, 90.00, 90.00 degrees
With the nearest neighbours (Å) after each atom.
Sites, in units of the cell vectors:
Rh 0.0000 0.0000 0.5000  2 Tl 2.44
Rh 0.5000 0.0000 0.0000  2 Tl 2.44
Rh 0.0000 0.5000 0.0000  2 Tl 2.44
Te 0.5000 0.5000 0.5000  12 Rh 3.45
Tl 0.0000 0.0000 0.0000  6 Rh 2.44

Calculated values
For the formation energy without anion corrections, the calculation gives 1.45 eV/atom.



Record 7
A plane-wave DFT calculation with SCAN was carried out for Tl2TeRh at its PBEsol-relaxed geometry.

Cell lengths 3.8409, 3.8409, 8.0879 Å; angles 76.26, 76.26, 60.00 degrees
With the nearest neighbours (Å) after each atom.
Sites, in units of the cell vectors:
Rh 0.5051 0.5051 0.4848  3 Te 2.57, 3 Tl 2.79
Tl 0.7657 0.7657 0.7029  3 Rh 2.79
Tl 0.0021 0.0021 0.9937  3 Tl 3.17, 3 Te 3.36
Te 0.2271 0.2271 0.3186  3 Rh 2.57

Calculated values
The relative energy among the computed polymorphs comes out at 0.000 eV per atom. For the formation energy without anion corrections, the calculation gives -0.11 eV/atom.



Record 8
A plane-wave DFT calculation with SCAN was carried out for TlTe2Rh at its PBEsol-relaxed geometry.

Cell lengths 4.0278, 4.0278, 7.6329 Å; angles 74.70, 74.70, 60.00 degrees
With the nearest neighbours (Å) after each atom.
Sites, in units of the cell vectors:
Tl 0.0000 0.0000 0.0000  6 Te 3.30
Te 0.7737 0.7737 0.6788  3 Rh 2.66
Te 0.2263 0.2263 0.3212  3 Rh 2.66
Rh 0.5000 0.5000 0.5000  6 Te 2.66

Calculated values
For the formation energy without anion corrections, the calculation gives -0.38 eV/atom.